# 1
! PBE HfS3, relaxed; values from VASP
! formation energy from raw total energies: -0.2512 eV per atom
&SYSTEM
  ibrav = 0, nat = 4, ntyp = 2
/
ATOMIC_SPECIES
Hf 178.49 Hf.upf
S 32.06 S.upf
CELL_PARAMETERS angstrom
-0.5638 -1.2386 -4.3333
0.5377 -4.3451 -1.2083
-3.6065 -2.4863 -1.2004
ATOMIC_POSITIONS crystal
Hf 0.7500 0.7500 0.7500
S 0.0000 0.0000 0.0000
S 0.2500 0.2500 0.2500
S 0.5000 0.5000 0.5000


# 2
! PBE Mg2Cu2Hg, relaxed; values from VASP
! E above lowest polymorph: 0.0 meV/atom
! ΔE_f: -49 kJ/mol of formula units
&SYSTEM
  ibrav = 0, nat = 10, ntyp = 3
/
ATOMIC_SPECIES
Mg 24.30 Mg.upf
Cu 63.55 Cu.upf
Hg 200.59 Hg.upf
CELL_PARAMETERS angstrom
-5.6086 -3.9716 -1.5085
4.1072 -4.4299 -3.6073
0.5420 -1.8738 2.9182
ATOMIC_POSITIONS crystal
Mg 0.6668 0.8332 0.5000
Mg 0.8332 0.3332 0.5000
Mg 0.1668 0.6668 0.5000
Mg 0.3332 0.1668 0.5000
Cu 0.1252 0.3748 0.0000
Cu 0.3748 0.8748 0.0000
Cu 0.8748 0.6252 0.0000
Cu 0.6252 0.1252 0.0000
Hg 0.0000 0.0000 0.0000
Hg 0.5000 0.5000 0.0000


# 3
! PBE Ga6Au, relaxed; values from VASP
! ΔE_f: 326 kJ/mol of formula units
&SYSTEM
  ibrav = 0, nat = 7, ntyp = 2
/
ATOMIC_SPECIES
Ga 69.72 Ga.upf
Au 196.97 Au.upf
CELL_PARAMETERS angstrom
-5.2517 3.0010 -1.2653
-1.1146 -6.0715 0.2862
2.2269 1.9435 5.4269
ATOMIC_POSITIONS crystal
Ga 0.7500 0.2500 0.5000
Ga 0.2500 0.5000 0.7500
Ga 0.2500 0.7500 0.5000
Ga 0.5000 0.2500 0.7500
Ga 0.7500 0.5000 0.2500
Ga 0.5000 0.7500 0.2500
Au 0.0000 0.0000 0.0000


# 4
! PBE Y2ScHg, relaxed; values from VASP
! ΔE_f: 25 kJ/mol of formula units
&SYSTEM
  ibrav = 0, nat = 8, ntyp = 3
/
ATOMIC_SPECIES
Hg 200.59 Hg.upf
Y 88.91 Y.upf
Sc 44.96 Sc.upf
CELL_PARAMETERS angstrom
-4.2823 -6.6206 3.2513
7.2184 -4.5346 0.2734
2.0338 -4.4998 4.7021
ATOMIC_POSITIONS crystal
Hg 0.7500 0.2500 0.5000
Hg 0.0000 0.0000 0.0000
Y 0.0872 0.6250 0.2500
Y 0.6628 0.1250 0.2500
Y 0.8750 0.9128 0.7500
Y 0.3750 0.3372 0.7500
Sc 0.2500 0.7500 0.5000
Sc 0.5000 0.5000 0.0000


# 5
! PBE NaPm2Sn3Pt4, relaxed; values from VASP
! ΔE_f: -698 kJ/mol of formula units
&SYSTEM
  ibrav = 0, nat = 10, ntyp = 4
/
ATOMIC_SPECIES
Pt 195.08 Pt.upf
Sn 118.71 Sn.upf
Pm 145.00 Pm.upf
Na 22.99 Na.upf
CELL_PARAMETERS angstrom
4.4984 0.0000 0.0000
0.0000 4.4984 0.0000
0.0000 0.0000 11.1264
ATOMIC_POSITIONS crystal
Pt 0.5000 0.0000 0.6402
Pt 0.0000 0.5000 0.3598
Pt 0.5000 0.5000 0.0000
Pt 0.0000 0.0000 0.0000
Sn 0.0000 0.0000 0.5000
Sn 0.0000 0.5000 0.1288
Sn 0.5000 0.0000 0.8712
Pm 0.5000 0.0000 0.2362
Pm 0.0000 0.5000 0.7638
Na 0.5000 0.5000 0.5000


# 6
! PBE ZrAsRh2, relaxed; values from VASP
! ΔE_f: -155 kJ/mol of formula units
&SYSTEM
  ibrav = 0, nat = 4, ntyp = 3
/
ATOMIC_SPECIES
Rh 102.91 Rh.upf
Zr 91.22 Zr.upf
As 74.92 As.upf
CELL_PARAMETERS angstrom
-1.3184 -2.1630 -4.7445
5.1042 1.5646 0.6528
1.5896 -2.4823 -0.1772
ATOMIC_POSITIONS crystal
Rh 0.0000 0.0000 0.0000
Rh 0.5000 0.5000 0.0000
Zr 0.5000 0.0000 0.5000
As 0.0000 0.5000 0.5000


Quick rundown of calculated volume, same order as above: 16.6 17.4 26.0 28.9 22.5 16.5 Å³ per atom